DFT (PBE) results for crystalline Ag2SbPd2 at its relaxed geometry.

The calculation puts the formation energy without anion corrections at -9.5 kJ/mol of atoms. As for the total magnetic moment: 0.00 μB per formula unit. As for the uncorrected energy: -4.14 eV per atom.

The structure belongs to space group P4/mbm (No. 127); the cell edges are 6.8191, 6.8191 and 4.0874 Å and the angles 90.00°, 90.00° and 90.00°. The distinct sites, in fractional coordinates, are Ag at (0.1539, 0.3461, 0.0000), Sb at (0.0000, 0.0000, 0.5000) and Pd at (0.1445, 0.6445, 0.5000).

DFT (PBE) results for crystalline Sn2HgPb9 at its relaxed geometry.

As for the total magnetic moment: 0.00 μB per formula unit. As for the uncorrected energy: -3.42 eV per atom. The calculation puts the formation energy at 0.0521 eV/atom.

The structure belongs to space group P4/mmm (No. 123); the cell edges are 6.0030, 6.0030 and 10.2526 Å and the angles 90.00°, 90.00° and 90.00°. The distinct sites, in fractional coordinates, are Sn at (0.0000, 0.0000, 0.1640), Hg at (0.0000, 0.0000, 0.5000), Pb at (0.0000, 0.5000, 0.0000), Pb at (0.0000, 0.5000, 0.3307), Pb at (0.5000, 0.5000, 0.1656) and Pb at (0.5000, 0.5000, 0.5000).

DFT (PBE) results for crystalline La2YGa3Rh4 at its relaxed geometry.

As for the total magnetic moment: 0.00 μB per formula unit. As for the uncorrected energy: -6.29 eV per atom. The calculation puts the formation energy at -0.8054 eV/atom.

The structure belongs to space group P-4m2 (No. 115); the cell edges are 4.3166, 4.3166 and 11.0238 Å and the angles 90.00°, 90.00° and 90.00°. The distinct sites, in fractional coordinates, are La at (0.0000, 0.5000, 0.2228), Y at (0.0000, 0.0000, 0.5000), Ga at (0.0000, 0.5000, 0.8851), Ga at (0.5000, 0.5000, 0.5000), Rh at (0.0000, 0.0000, 0.0000), Rh at (0.0000, 0.5000, 0.6547) and Rh at (0.5000, 0.5000, 0.0000).

DFT (PBE) results for crystalline NdEr4Cd at its relaxed geometry.

As for the total magnetic moment: 0.43 μB per formula unit. As for the uncorrected energy: -3.54 eV per atom. The calculation puts the formation energy at 0.4491 eV/atom.

The structure belongs to space group C2/m (No. 12); the cell edges are 7.3898, 7.3910 and 7.5313 Å and the angles 90.00°, 90.06° and 90.00°. The distinct sites, in fractional coordinates, are Nd at (0.0000, 0.0000, 0.0000), Er at (0.2502, 0.2503, 0.2650) and Cd at (0.0000, 0.5000, 0.5000).

DFT (PBE) results for crystalline Ag5Ir at its relaxed geometry.

As for the total magnetic moment: 0.00 μB per formula unit. As for the uncorrected energy: -3.33 eV per atom. The calculation puts the formation energy at 0.5231 eV/atom.

The structure belongs to space group F-43m (No. 216); the cell edges are 7.5690, 7.5690 and 7.5690 Å and the angles 90.00°, 90.00° and 90.00°. The distinct sites, in fractional coordinates, are Ag at (0.0000, 0.0000, 0.0000), Ag at (0.1247, 0.1247, 0.3753) and Ir at (0.2500, 0.2500, 0.7500).

DFT (PBE) results for crystalline Dy7YHo12 at its relaxed geometry.

As for the total magnetic moment: 0.00 μB per formula unit. As for the uncorrected energy: -4.38 eV per atom. The calculation puts the formation energy at 0.3021 eV/atom.

The structure belongs to space group R-3 (No. 148, hexagonal axes); the cell edges are 12.7449, 12.7449 and 13.5943 Å and the angles 90.00°, 90.00° and 120.00°. The distinct sites, in fractional coordinates, are Dy at (0.0000, 0.0000, 0.0000), Dy at (0.0684, 0.8678, 0.3467), Y at (0.0000, 0.0000, 0.5000), Ho at (0.9998, 0.4355, 0.7504) and Ho at (0.0683, 0.2005, 0.8488).

DFT (PBE) results for crystalline KP3Ru3 at its relaxed geometry.

As for the total magnetic moment: 0.00 μB per formula unit. As for the uncorrected energy: -6.89 eV per atom. The calculation puts the formation energy at -0.4377 eV/atom.

The structure belongs to space group R-3 (No. 148, hexagonal axes); the cell edges are 6.5637, 6.5637 and 24.2892 Å and the angles 90.00°, 90.00° and 120.00°. The distinct sites, in fractional coordinates, are K at (0.0000, 0.0000, 0.1643), P at (0.0131, 0.3742, 0.3934) and Ru at (0.0121, 0.3050, 0.6297).

DFT (PBE) results for crystalline KCu2Re at its relaxed geometry.

As for the total magnetic moment: 1.83 μB per formula unit. As for the uncorrected energy: -3.94 eV per atom. The calculation puts the formation energy at 1.4921 eV/atom.

The structure belongs to space group I-4m2 (No. 119); the cell edges are 3.8439, 3.8439 and 9.4859 Å and the angles 90.00°, 90.00° and 90.00°. The distinct sites, in fractional coordinates, are K at (0.0000, 0.0000, 0.0000), Cu at (0.0000, 0.0000, 0.5000), Cu at (0.0000, 0.5000, 0.2500) and Re at (0.0000, 0.5000, 0.7500).

DFT (PBE) results for crystalline CaLaAsO at its relaxed geometry.

The calculation puts the formation energy without anion corrections at -213.8 kJ/mol of atoms. As for the total magnetic moment: 0.00 μB per formula unit. As for the uncorrected energy: -6.35 eV per atom.

The structure belongs to space group P4/nmm (No. 129, origin choice 2); the cell edges are 4.4599, 4.4599 and 9.1033 Å and the angles 90.00°, 90.00° and 90.00°. The distinct sites, in fractional coordinates, are Ca at (0.2500, 0.7500, 0.0000), La at (0.2500, 0.2500, 0.3346), As at (0.2500, 0.2500, 0.6908) and O at (0.2500, 0.2500, 0.0814).

DFT (PBE) results for crystalline CsDyScTe3 at its relaxed geometry.

The calculation puts the formation energy without anion corrections at -119.1 kJ/mol of atoms. As for the total magnetic moment: 0.25 μB per formula unit. As for the uncorrected energy: -4.77 eV per atom.

The structure belongs to space group P2_1/m (No. 11); the cell edges are 10.2442, 4.6200 and 11.1483 Å and the angles 90.00°, 111.40° and 90.00°. The distinct sites, in fractional coordinates, are Cs at (0.2156, 0.2500, 0.2404), Dy at (0.3376, 0.7500, 0.8670), Sc at (0.0855, 0.2500, 0.6085), Te at (0.1267, 0.2500, 0.8700), Te at (0.2123, 0.7500, 0.5518) and Te at (0.4726, 0.7500, 0.1588).

DFT (PBE) results for crystalline RbTeRu at its relaxed geometry.

The calculation puts the formation energy without anion corrections at -25.7 kJ/mol of atoms. As for the total magnetic moment: 0.00 μB per formula unit. As for the uncorrected energy: -4.73 eV per atom.

The structure belongs to space group P4/nmm (No. 129, origin choice 2); the cell edges are 4.3229, 4.3229 and 11.1345 Å and the angles 90.00°, 90.00° and 90.00°. The distinct sites, in fractional coordinates, are Rb at (0.2500, 0.2500, 0.1919), Te at (0.2500, 0.2500, 0.6302) and Ru at (0.2500, 0.7500, 0.5000).

DFT (PBE) results for crystalline LaRu2 at its relaxed geometry.

As for the total magnetic moment: 0.00 μB per formula unit. As for the uncorrected energy: -6.87 eV per atom. The calculation puts the formation energy at 0.9517 eV/atom.

The structure belongs to space group Fm-3m (No. 225); the cell edges are 6.2935, 6.2935 and 6.2935 Å and the angles 90.00°, 90.00° and 90.00°. The distinct sites, in fractional coordinates, are La at (0.0000, 0.0000, 0.0000) and Ru at (0.2500, 0.2500, 0.2500).

DFT (PBE) results for crystalline ScNiSe2Br at its relaxed geometry.

The calculation puts the formation energy without anion corrections at -7.2 kJ/mol of atoms. As for the total magnetic moment: 1.46 μB per formula unit. As for the uncorrected energy: -4.23 eV per atom.

The structure belongs to space group P4/mmm (No. 123); the cell edges are 5.1825, 5.1825 and 5.1606 Å and the angles 90.00°, 90.00° and 90.00°. The distinct sites, in fractional coordinates, are Sc at (0.0000, 0.0000, 0.0000), Ni at (0.5000, 0.5000, 0.5000), Se at (0.0000, 0.5000, 0.0000) and Br at (0.0000, 0.0000, 0.5000).

DFT (PBE) results for crystalline Cd2CuBi at its relaxed geometry.

As for the total magnetic moment: 0.00 μB per formula unit. As for the uncorrected energy: -2.23 eV per atom. The calculation puts the formation energy at 0.2190 eV/atom.

The structure belongs to space group I-42d (No. 122); the cell edges are 4.3463, 4.3463 and 20.2568 Å and the angles 90.00°, 90.00° and 90.00°. The distinct sites, in fractional coordinates, are Cd at (0.2128, 0.2500, 0.1250), Cu at (0.0000, 0.0000, 0.0000) and Bi at (0.0000, 0.0000, 0.5000).

DFT (PBE) results for crystalline LiCaTa at its relaxed geometry.

As for the total magnetic moment: 0.00 μB per formula unit. As for the uncorrected energy: -2.93 eV per atom. The calculation puts the formation energy at 2.3263 eV/atom.

The structure belongs to space group P6_3/mmc (No. 194); the cell edges are 3.7448, 3.7448 and 11.0452 Å and the angles 90.00°, 90.00° and 120.00°. The distinct sites, in fractional coordinates, are Li at (0.3333, 0.6667, 0.2500), Ca at (0.0000, 0.0000, 0.2500) and Ta at (0.0000, 0.0000, 0.0000).

DFT (PBE) results for crystalline Zr2CrW at its relaxed geometry.

As for the total magnetic moment: 0.00 μB per formula unit. As for the uncorrected energy: -9.59 eV per atom. The calculation puts the formation energy at 0.3239 eV/atom.

The structure belongs to space group Immm (No. 71); the cell edges are 3.2811, 4.7975 and 9.0107 Å and the angles 90.00°, 90.00° and 90.00°. The distinct sites, in fractional coordinates, are Zr at (0.0000, 0.0000, 0.2351), Cr at (0.0000, 0.5000, 0.5000) and W at (0.0000, 0.5000, 0.0000).

DFT (PBE) results for crystalline Nd5SbRu2 at its relaxed geometry.

The calculation puts the formation energy without anion corrections at -43.5 kJ/mol of atoms. As for the total magnetic moment: 0.00 μB per formula unit. As for the uncorrected energy: -6.27 eV per atom.

The structure belongs to space group I4/mcm (No. 140); the cell edges are 7.9883, 7.9883 and 13.8122 Å and the angles 90.00°, 90.00° and 90.00°. The distinct sites, in fractional coordinates, are Nd at (0.0000, 0.0000, 0.0000), Nd at (0.1580, 0.3420, 0.1346), Sb at (0.0000, 0.0000, 0.2500) and Ru at (0.1416, 0.3584, 0.5000).

DFT (PBE) results for crystalline CsHfRu3 at its relaxed geometry.

As for the total magnetic moment: 3.96 μB per formula unit. As for the uncorrected energy: -6.21 eV per atom. The calculation puts the formation energy at 1.5184 eV/atom.

The structure belongs to space group Pm-3m (No. 221); the cell edges are 5.0298, 5.0298 and 5.0298 Å and the angles 90.00°, 90.00° and 90.00°. The distinct sites, in fractional coordinates, are Cs at (0.0000, 0.0000, 0.0000), Hf at (0.5000, 0.5000, 0.5000) and Ru at (0.0000, 0.5000, 0.5000).

DFT (PBE) results for crystalline NaSc3H at its relaxed geometry.

As for the total magnetic moment: 2.33 μB per formula unit. As for the uncorrected energy: -4.58 eV per atom.

The structure belongs to space group Pm-3m (No. 221); the cell edges are 4.6657, 4.6657 and 4.6657 Å and the angles 90.00°, 90.00° and 90.00°. The distinct sites, in fractional coordinates, are Na at (0.0000, 0.0000, 0.0000), Sc at (0.0000, 0.5000, 0.5000) and H at (0.5000, 0.5000, 0.5000).

DFT (PBE) results for crystalline Ac4Tl3O at its relaxed geometry.

The calculation puts the formation energy without anion corrections at -70.4 kJ/mol of atoms. As for the total magnetic moment: 0.37 μB per formula unit. As for the uncorrected energy: -4.29 eV per atom.

The structure belongs to space group Pmn2_1 (No. 31); the cell edges are 8.4763, 10.4156 and 6.8552 Å and the angles 90.00°, 90.00° and 90.00°. The distinct sites, in fractional coordinates, are Ac at (0.0000, 0.0396, 0.0000), Ac at (0.0000, 0.7974, 0.4017), Ac at (0.2341, 0.6801, 0.9073), Tl at (0.0000, 0.1003, 0.5310), Tl at (0.1708, 0.3597, 0.9028) and O at (0.0000, 0.7929, 0.0365).

DFT (PBE) results for crystalline BaNdIn at its relaxed geometry.

As for the total magnetic moment: 0.00 μB per formula unit. As for the uncorrected energy: -3.29 eV per atom. The calculation puts the formation energy at -0.1472 eV/atom.

The structure belongs to space group P3m1 (No. 156); the cell edges are 5.6385, 5.6385 and 3.9469 Å and the angles 90.00°, 90.00° and 120.00°. The distinct sites, in fractional coordinates, are Ba at (0.0000, 0.0000, 0.0000), Nd at (0.6667, 0.3333, 0.5879) and In at (0.3333, 0.6667, 0.4123).

DFT (PBE) results for crystalline AlCu2Tc at its relaxed geometry.

As for the total magnetic moment: 0.92 μB per formula unit. As for the uncorrected energy: -5.54 eV per atom. The calculation puts the formation energy at 0.0318 eV/atom.

The structure belongs to space group F-43m (No. 216); the cell edges are 5.9694, 5.9694 and 5.9694 Å and the angles 90.00°, 90.00° and 90.00°. The distinct sites, in fractional coordinates, are Al at (0.0000, 0.0000, 0.0000), Cu at (0.0000, 0.0000, 0.5000), Cu at (0.2500, 0.2500, 0.7500) and Tc at (0.2500, 0.2500, 0.2500).

DFT (PBE) results for crystalline Pm2YTlN at its relaxed geometry.

The calculation puts the formation energy without anion corrections at -84.9 kJ/mol of atoms. As for the total magnetic moment: 0.00 μB per formula unit. As for the uncorrected energy: -6.21 eV per atom.

The structure belongs to space group P4/mmm (No. 123); the cell edges are 4.9971, 4.9971 and 4.8356 Å and the angles 90.00°, 90.00° and 90.00°. The distinct sites, in fractional coordinates, are Pm at (0.0000, 0.5000, 0.0000), Y at (0.0000, 0.0000, 0.5000), Tl at (0.5000, 0.5000, 0.5000) and N at (0.0000, 0.0000, 0.0000).